Entry 1:
DFT (GGA-PBE) results for a relaxed CeNiH6Pd crystal.

The structure belongs to space group P-6m2 (No. 187); the cell edges are 4.6013, 4.6013 and 4.2943 Å and the angles 90.00°, 90.00° and 120.00°. Symmetry generates all atoms from Ce at (0.0000, 0.0000, 0.0000), Ni at (0.6667, 0.3333, 0.5000), H at (0.5130, 0.0261, 0.2436) and Pd at (0.3333, 0.6667, 0.5000).

For the theoretical density, the calculation gives 6.6 g/cm³. The electronic total energy is -4.456 eV/atom.

Entry 2:
DFT (GGA-PBE) results for a relaxed CeNi2H8Pd crystal.

The structure belongs to space group R-3 (No. 148, hexagonal axes); the cell edges are 4.5846, 4.5846 and 16.2382 Å and the angles 90.00°, 90.00° and 120.00°. Symmetry generates all atoms from Ce at (0.0000, 0.0000, 0.0000), Ni at (0.0000, 0.0000, 0.2103), H at (0.0000, 0.0000, 0.3082), H at (0.0070, 0.7003, 0.1168) and Pd at (0.0000, 0.0000, 0.5000).

For the theoretical density, the calculation gives 6.3 g/cm³. The electronic total energy is -4.301 eV/atom.

Entry 3:
DFT (GGA-PBE) results for a relaxed CePmNi2H8 crystal.

The structure belongs to space group R-3m (No. 166, hexagonal axes); the cell edges are 4.4451, 4.4451 and 19.3688 Å and the angles 90.00°, 90.00° and 120.00°. Symmetry generates all atoms from Ce at (0.0000, 0.0000, 0.0000), Pm at (0.0000, 0.0000, 0.5000), Ni at (0.0000, 0.0000, 0.2595), H at (0.0000, 0.0000, 0.3429) and H at (0.0383, 0.5192, 0.5597).

For the theoretical density, the calculation gives 6.2 g/cm³. The electronic total energy is -4.442 eV/atom.

Entry 4:
DFT (GGA-PBE) results for a relaxed Ce2NiHPt6 crystal.

The structure belongs to space group C2/m (No. 12); the cell edges are 9.755, 5.631 and 6.991 Å and the angles 90.00°, 117.65° and 90.00°. Symmetry generates all atoms from Ce at (0.216, 0.000, 0.149), Ni at (0.000, 0.500, 0.000), H at (0.000, 0.000, 0.500), Pt at (0.020, 0.252, 0.309) and Pt at (0.232, 0.000, 0.691).

For the theoretical density, the calculation gives 14.7 g/cm³. The electronic total energy is -6.408 eV/atom.

Entry 5:
DFT (GGA-PBE) results for a relaxed CeNiH6Pt crystal.

The structure belongs to space group P-6m2 (No. 187); the cell edges are 4.6196, 4.6196 and 4.3010 Å and the angles 90.00°, 90.00° and 120.00°. Symmetry generates all atoms from Ce at (0.0000, 0.0000, 0.0000), Ni at (0.6667, 0.3333, 0.5000), H at (0.5096, 0.0193, 0.2433) and Pt at (0.3333, 0.6667, 0.5000).

For the theoretical density, the calculation gives 8.4 g/cm³. The electronic total energy is -4.565 eV/atom.

Entry 6:
DFT (GGA-PBE) results for a relaxed CeNi2H8Rh crystal.

The structure belongs to space group R-3 (No. 148, hexagonal axes); the cell edges are 4.5600, 4.5600 and 15.9610 Å and the angles 90.00°, 90.00° and 120.00°. Symmetry generates all atoms from Ce at (0.0000, 0.0000, 0.0000), Ni at (0.0000, 0.0000, 0.2154), H at (0.0000, 0.0000, 0.3138), H at (0.0148, 0.6489, 0.7823) and Rh at (0.0000, 0.0000, 0.5000).

For the theoretical density, the calculation gives 6.4 g/cm³. The electronic total energy is -4.517 eV/atom.

Entry 7:
DFT (GGA-PBE) results for a relaxed CeNiH8Rh4 crystal.

The structure belongs to space group R3m (No. 160, hexagonal axes); the cell edges are 5.7294, 5.7294 and 13.2250 Å and the angles 90.00°, 90.00° and 120.00°. Symmetry generates all atoms from Ce at (0.0000, 0.0000, 0.0000), Ni at (0.0000, 0.0000, 0.6122), H at (0.0000, 0.0000, 0.3719), H at (0.0000, 0.0000, 0.8311), H at (0.1013, 0.5506, 0.3724), H at (0.1826, 0.3651, 0.2065), Rh at (0.0000, 0.0000, 0.2026) and Rh at (0.0073, 0.5037, 0.1156).

For the theoretical density, the calculation gives 8.2 g/cm³. The electronic total energy is -5.053 eV/atom.

Entry 8:
DFT (GGA-PBE) results for a relaxed CeNiH8Rh2 crystal.

The structure belongs to space group R-3 (No. 148, hexagonal axes); the cell edges are 4.6387, 4.6387 and 16.3750 Å and the angles 90.00°, 90.00° and 120.00°. Symmetry generates all atoms from Ce at (0.0000, 0.0000, 0.0000), Ni at (0.0000, 0.0000, 0.5000), H at (0.0000, 0.0000, 0.3116), H at (0.0042, 0.6302, 0.7851) and Rh at (0.0000, 0.0000, 0.2087).

For the theoretical density, the calculation gives 6.7 g/cm³. The electronic total energy is -4.663 eV/atom.

> The lowest electronic total energy belongs to which entry?

Ce2NiHPt6

> theoretical density of number 6 (CeNi2H8Rh)?

6.4 g/cm³

> Which of these has the lowest theoretical density?

CePmNi2H8

> Among the records above, which one has the lowest electronic total energy?

Ce2NiHPt6